1.
# PBE BeTcIr2, optimized geometry
# * E_form: 58.1 meV/atom
# * magnetic moment: 0.0 μB per formula unit
# * DOS at the Fermi energy: 4.5 states/eV per cell
# * total energy: -7.90 eV per atom
data_BeTcIr2
_chemical_formula_sum 'Be1 Tc1 Ir2'
_cell_length_a 3.6811
_cell_length_b 3.8319
_cell_length_c 3.8319
_cell_angle_alpha 90.00
_cell_angle_beta 90.00
_cell_angle_gamma 90.00
_symmetry_space_group_name_H-M 'P 1'
_symmetry_Int_Tables_number 1
_symmetry_space_group_name_Hall 'P 1'
loop_
_atom_site_label
_atom_site_type_symbol
_atom_site_fract_x
_atom_site_fract_y
_atom_site_fract_z
Be1 Be 0.5000 0.0000 0.5000
Ir1 Ir 0.0000 0.0000 0.0000
Ir2 Ir 0.0000 0.5000 0.5000
Tc1 Tc 0.5000 0.5000 0.0000



2.
# PBE Nd2NpGe4Pt3, optimized geometry
# * E_form: -703.7 meV/atom
# * magnetic moment: 4.0 μB per formula unit
# * DOS at the Fermi energy: 9.9 states/eV per cell
# * total energy: -6.61 eV per atom
data_Nd2NpGe4Pt3
_chemical_formula_sum 'Nd2 Np1 Ge4 Pt3'
_cell_length_a 4.3005
_cell_length_b 4.3005
_cell_length_c 11.4857
_cell_angle_alpha 90.00
_cell_angle_beta 90.00
_cell_angle_gamma 90.00
_symmetry_space_group_name_H-M 'P 1'
_symmetry_Int_Tables_number 1
_symmetry_space_group_name_Hall 'P 1'
loop_
_atom_site_label
_atom_site_type_symbol
_atom_site_fract_x
_atom_site_fract_y
_atom_site_fract_z
Nd1 Nd 0.5000 0.0000 0.2299
Nd2 Nd 0.0000 0.5000 0.7701
Np1 Np 0.5000 0.5000 0.5000
Ge1 Ge 0.5000 0.5000 0.0000
Ge2 Ge 0.0000 0.0000 0.0000
Ge3 Ge 0.5000 0.0000 0.6678
Ge4 Ge 0.0000 0.5000 0.3322
Pt1 Pt 0.0000 0.0000 0.5000
Pt2 Pt 0.5000 0.0000 0.8833
Pt3 Pt 0.0000 0.5000 0.1167



3.
# PBE Er2Sc2Co2S, optimized geometry
# * magnetic moment: 0.0 μB per formula unit
# * E_form (uncorrected): -0.666 eV/atom
# * DOS at the Fermi energy: 4.5 states/eV per cell
# * total energy: -6.40 eV per atom
data_Er2Sc2Co2S
_chemical_formula_sum 'Er2 Sc2 Co2 S1'
_cell_length_a 3.6660
_cell_length_b 7.1075
_cell_length_c 6.4061
_cell_angle_alpha 69.83
_cell_angle_beta 73.37
_cell_angle_gamma 75.05
_symmetry_space_group_name_H-M 'P 1'
_symmetry_Int_Tables_number 1
_symmetry_space_group_name_Hall 'P 1'
loop_
_atom_site_label
_atom_site_type_symbol
_atom_site_fract_x
_atom_site_fract_y
_atom_site_fract_z
Er1 Er 0.5445 0.2294 0.6816
Er2 Er 0.4555 0.7706 0.3184
Sc1 Sc 0.2226 0.6760 0.8787
Sc2 Sc 0.7774 0.3240 0.1213
Co1 Co 0.1080 0.4402 0.3438
Co2 Co 0.8920 0.5598 0.6562
S1 S 0.0000 0.0000 0.0000



4.
# PBE BaLi2ZnGe, optimized geometry
# * E_form: -122.4 meV/atom
# * magnetic moment: 0.4 μB per formula unit
# * DOS at the Fermi energy: 3.1 states/eV per cell
# * distance to the lowest polymorph of the same formula: 0.038 eV/atom
# * total energy: -2.45 eV per atom
data_BaLi2ZnGe
_chemical_formula_sum 'Ba1 Li2 Zn1 Ge1'
_cell_length_a 5.0707
_cell_length_b 5.0707
_cell_length_c 4.9132
_cell_angle_alpha 90.00
_cell_angle_beta 90.00
_cell_angle_gamma 90.00
_symmetry_space_group_name_H-M 'P 1'
_symmetry_Int_Tables_number 1
_symmetry_space_group_name_Hall 'P 1'
loop_
_atom_site_label
_atom_site_type_symbol
_atom_site_fract_x
_atom_site_fract_y
_atom_site_fract_z
Zn1 Zn 0.0000 0.0000 0.0000
Ge1 Ge 0.0000 0.0000 0.5000
Ba1 Ba 0.5000 0.5000 0.5000
Li1 Li 0.0000 0.5000 0.0000
Li2 Li 0.5000 0.0000 0.0000



5.
# PBE Ba2CdOs, optimized geometry
# * E_form: 606.4 meV/atom
# * magnetic moment: 0.2 μB per formula unit
# * DOS at the Fermi energy: 2.6 states/eV per cell
# * total energy: -3.39 eV per atom
data_Ba2CdOs
_chemical_formula_sum 'Ba2 Cd1 Os1'
_cell_length_a 4.6746
_cell_length_b 4.6746
_cell_length_c 9.1778
_cell_angle_alpha 81.91
_cell_angle_beta 81.91
_cell_angle_gamma 45.67
_symmetry_space_group_name_H-M 'P 1'
_symmetry_Int_Tables_number 1
_symmetry_space_group_name_Hall 'P 1'
loop_
_atom_site_label
_atom_site_type_symbol
_atom_site_fract_x
_atom_site_fract_y
_atom_site_fract_z
Os1 Os 0.2500 0.2500 0.2500
Ba1 Ba 0.9863 0.9863 0.0515
Ba2 Ba 0.5137 0.5137 0.4485
Cd1 Cd 0.7500 0.7500 0.7500



6.
# PBE AcMoHN2, optimized geometry
# * magnetic moment: 0.0 μB per formula unit
# * DOS at the Fermi energy: 2.4 states/eV per cell
# * total energy: -7.76 eV per atom
data_AcMoHN2
_chemical_formula_sum 'Ac1 Mo1 H1 N2'
_cell_length_a 3.7955
_cell_length_b 4.1113
_cell_length_c 4.1113
_cell_angle_alpha 90.00
_cell_angle_beta 90.00
_cell_angle_gamma 90.00
_symmetry_space_group_name_H-M 'P 1'
_symmetry_Int_Tables_number 1
_symmetry_space_group_name_Hall 'P 1'
loop_
_atom_site_label
_atom_site_type_symbol
_atom_site_fract_x
_atom_site_fract_y
_atom_site_fract_z
Ac1 Ac 0.5000 0.5000 0.5000
Mo1 Mo 0.0000 0.0000 0.0000
H1 H 0.5000 0.0000 0.0000
N1 N 0.0000 0.0000 0.5000
N2 N 0.0000 0.5000 0.0000



7.
# PBE PmPuPb6, optimized geometry
# * E_form: -265.2 meV/atom
# * magnetic moment: 5.8 μB per formula unit
# * DOS at the Fermi energy: 13.6 states/eV per cell
# * total energy: -5.43 eV per atom
data_PmPuPb6
_chemical_formula_sum 'Pm1 Pu1 Pb6'
_cell_length_a 4.8975
_cell_length_b 4.8975
_cell_length_c 9.7404
_cell_angle_alpha 90.00
_cell_angle_beta 90.00
_cell_angle_gamma 90.00
_symmetry_space_group_name_H-M 'P 1'
_symmetry_Int_Tables_number 1
_symmetry_space_group_name_Hall 'P 1'
loop_
_atom_site_label
_atom_site_type_symbol
_atom_site_fract_x
_atom_site_fract_y
_atom_site_fract_z
Pm1 Pm 0.0000 0.0000 0.0000
Pu1 Pu 0.0000 0.0000 0.5000
Pb1 Pb 0.5000 0.5000 0.0000
Pb2 Pb 0.5000 0.5000 0.5000
Pb3 Pb 0.5000 0.0000 0.2531
Pb4 Pb 0.5000 0.0000 0.7469
Pb5 Pb 0.0000 0.5000 0.2531
Pb6 Pb 0.0000 0.5000 0.7469



8.
# PBE Sb2Rh3Pb2, optimized geometry
# * magnetic moment: 0.0 μB per formula unit
# * E_form (uncorrected): -0.261 eV/atom
# * DOS at the Fermi energy: 7.0 states/eV per cell
# * total energy: -5.65 eV per atom
data_Sb2Rh3Pb2
_chemical_formula_sum 'Sb4 Rh6 Pb4'
_cell_length_a 7.0685
_cell_length_b 6.9541
_cell_length_c 6.9186
_cell_angle_alpha 67.41
_cell_angle_beta 90.00
_cell_angle_gamma 90.00
_symmetry_space_group_name_H-M 'P 1'
_symmetry_Int_Tables_number 1
_symmetry_space_group_name_Hall 'P 1'
loop_
_atom_site_label
_atom_site_type_symbol
_atom_site_fract_x
_atom_site_fract_y
_atom_site_fract_z
Sb1 Sb 0.6714 0.3448 0.3630
Sb2 Sb 0.1714 0.1552 0.6370
Sb3 Sb 0.8286 0.8448 0.3630
Sb4 Sb 0.3286 0.6552 0.6370
Rh1 Rh 0.5000 0.5000 0.0000
Rh2 Rh 0.0000 0.0000 0.0000
Rh3 Rh 0.9924 0.2050 0.2959
Rh4 Rh 0.4924 0.2950 0.7041
Rh5 Rh 0.5076 0.7050 0.2959
Rh6 Rh 0.0076 0.7950 0.7041
Pb1 Pb 0.3450 0.1043 0.1367
Pb2 Pb 0.1550 0.6043 0.1367
Pb3 Pb 0.8450 0.3957 0.8633
Pb4 Pb 0.6550 0.8957 0.8633



9.
# PBE Cd2Tc2As, optimized geometry
# * E_form: 115.7 meV/atom
# * magnetic moment: 0.0 μB per formula unit
# * DOS at the Fermi energy: 9.3 states/eV per cell
# * total energy: -5.33 eV per atom
data_Cd2Tc2As
_chemical_formula_sum 'Cd4 Tc4 As2'
_cell_length_a 6.2757
_cell_length_b 6.2757
_cell_length_c 4.6611
_cell_angle_alpha 90.00
_cell_angle_beta 90.00
_cell_angle_gamma 90.00
_symmetry_space_group_name_H-M 'P 1'
_symmetry_Int_Tables_number 1
_symmetry_space_group_name_Hall 'P 1'
loop_
_atom_site_label
_atom_site_type_symbol
_atom_site_fract_x
_atom_site_fract_y
_atom_site_fract_z
As1 As 0.0000 0.0000 0.0000
As2 As 0.5000 0.5000 0.0000
Tc1 Tc 0.3620 0.8620 0.0000
Tc2 Tc 0.8620 0.6380 0.0000
Tc3 Tc 0.6380 0.1380 0.0000
Tc4 Tc 0.1380 0.3620 0.0000
Cd1 Cd 0.1673 0.6673 0.5000
Cd2 Cd 0.6673 0.8327 0.5000
Cd3 Cd 0.8327 0.3327 0.5000
Cd4 Cd 0.3327 0.1673 0.5000



10.
# PBE Ac2As4IrPt3, optimized geometry
# * E_form: -860.6 meV/atom
# * magnetic moment: 0.0 μB per formula unit
# * DOS at the Fermi energy: 5.0 states/eV per cell
# * total energy: -6.24 eV per atom
data_Ac2As4IrPt3
_chemical_formula_sum 'Ac2 As4 Ir1 Pt3'
_cell_length_a 4.5209
_cell_length_b 4.5209
_cell_length_c 10.1229
_cell_angle_alpha 90.00
_cell_angle_beta 90.00
_cell_angle_gamma 90.00
_symmetry_space_group_name_H-M 'P 1'
_symmetry_Int_Tables_number 1
_symmetry_space_group_name_Hall 'P 1'
loop_
_atom_site_label
_atom_site_type_symbol
_atom_site_fract_x
_atom_site_fract_y
_atom_site_fract_z
Ac1 Ac 0.5000 0.0000 0.2514
Ac2 Ac 0.0000 0.5000 0.7486
As1 As 0.5000 0.5000 0.0000
As2 As 0.0000 0.0000 0.0000
As3 As 0.5000 0.0000 0.6282
As4 As 0.0000 0.5000 0.3718
Ir1 Ir 0.5000 0.5000 0.5000
Pt1 Pt 0.0000 0.0000 0.5000
Pt2 Pt 0.5000 0.0000 0.8811
Pt3 Pt 0.0000 0.5000 0.1189



11.
# PBE SrZn2Ag2Pd, optimized geometry
# * E_form: -201.3 meV/atom
# * magnetic moment: 0.0 μB per formula unit
# * DOS at the Fermi energy: 2.9 states/eV per cell
# * total energy: -2.72 eV per atom
data_SrZn2Ag2Pd
_chemical_formula_sum 'Sr1 Zn2 Ag2 Pd1'
_cell_length_a 4.8540
_cell_length_b 4.8540
_cell_length_c 5.7888
_cell_angle_alpha 90.00
_cell_angle_beta 90.00
_cell_angle_gamma 90.00
_symmetry_space_group_name_H-M 'P 1'
_symmetry_Int_Tables_number 1
_symmetry_space_group_name_Hall 'P 1'
loop_
_atom_site_label
_atom_site_type_symbol
_atom_site_fract_x
_atom_site_fract_y
_atom_site_fract_z
Sr1 Sr 0.0000 0.0000 0.5000
Zn1 Zn 0.5000 0.0000 0.0000
Zn2 Zn 0.0000 0.5000 0.0000
Ag1 Ag 0.5000 0.5000 0.7435
Ag2 Ag 0.5000 0.5000 0.2565
Pd1 Pd 0.0000 0.0000 0.0000



12.
# PBE KAlMo2Au, optimized geometry
# * E_form: 2705.9 meV/atom
# * magnetic moment: 0.0 μB per formula unit
# * DOS at the Fermi energy: 5.7 states/eV per cell
# * total energy: -3.25 eV per atom
data_KAlMo2Au
_chemical_formula_sum 'K1 Al1 Mo2 Au1'
_cell_length_a 4.4998
_cell_length_b 4.9693
_cell_length_c 4.4998
_cell_angle_alpha 90.00
_cell_angle_beta 90.00
_cell_angle_gamma 90.00
_symmetry_space_group_name_H-M 'P 1'
_symmetry_Int_Tables_number 1
_symmetry_space_group_name_Hall 'P 1'
loop_
_atom_site_label
_atom_site_type_symbol
_atom_site_fract_x
_atom_site_fract_y
_atom_site_fract_z
Mo1 Mo 0.0000 0.0000 0.5000
Mo2 Mo 0.5000 0.0000 0.0000
Au1 Au 0.5000 0.5000 0.5000
K1 K 0.0000 0.0000 0.0000
Al1 Al 0.0000 0.5000 0.0000